Entry 1:
Ta2SbC | SCAN | PBEsol geometry

Computed properties:
Energy relative to the elements, uncorrected, eV/atom: 1.02
M_tot, μB/f.u.: 0.00

abc: 6.2830 6.2830 6.2830
angles: 90.00 90.00 90.00
Space group Fm-3m (No. 225)
Inequivalent atoms, fractional coordinates:
Ta 0.2500 0.2500 0.2500 (multiplicity 8)
Sb 0.0000 0.0000 0.0000 (multiplicity 4)
C 0.0000 0.0000 0.5000 (multiplicity 4)



Entry 2:
TcSbC2 | SCAN | PBEsol geometry

Computed properties:
Energy relative to the elements, uncorrected, eV/atom: 1.01
M_tot, μB/f.u.: 0.00

abc: 4.8579 4.8579 9.9418
angles: 90.00 90.00 90.00
Space group I-42d (No. 122)
Inequivalent atoms, fractional coordinates:
Tc 0.0000 0.0000 0.0000 (multiplicity 4)
Sb 0.0000 0.0000 0.5000 (multiplicity 4)
C 0.1886 0.2500 0.1250 (multiplicity 8)



Entry 3:
TiSbTe2C | SCAN | PBEsol geometry

Computed properties:
Energy relative to the elements, uncorrected, eV/atom: 1.34
M_tot, μB/f.u.: 1.84

abc: 5.1517 5.1517 5.1896
angles: 90.00 90.00 90.00
Space group P4/mmm (No. 123)
Inequivalent atoms, fractional coordinates:
Ti 0.0000 0.0000 0.0000 (multiplicity 1)
Sb 0.0000 0.0000 0.5000 (multiplicity 1)
Te 0.0000 0.5000 0.0000 (multiplicity 2)
C 0.5000 0.5000 0.5000 (multiplicity 1)



Entry 4:
SbTe2WC | SCAN | PBEsol geometry

Computed properties:
Energy relative to the elements, uncorrected, eV/atom: 1.90
M_tot, μB/f.u.: 1.90

abc: 5.1758 5.1758 5.2264
angles: 90.00 90.00 90.00
Space group P4/mmm (No. 123)
Inequivalent atoms, fractional coordinates:
Sb 0.0000 0.0000 0.0000 (multiplicity 1)
Te 0.0000 0.5000 0.5000 (multiplicity 2)
W 0.0000 0.0000 0.5000 (multiplicity 1)
C 0.5000 0.5000 0.0000 (multiplicity 1)



Entry 5:
YSbTe2C | SCAN | PBEsol geometry

Computed properties:
Energy relative to the elements, uncorrected, eV/atom: 1.42
M_tot, μB/f.u.: 1.38

abc: 5.6852 5.6852 5.7683
angles: 90.00 90.00 90.00
Space group P4/mmm (No. 123)
Inequivalent atoms, fractional coordinates:
Y 0.0000 0.0000 0.0000 (multiplicity 1)
Sb 0.0000 0.0000 0.5000 (multiplicity 1)
Te 0.0000 0.5000 0.0000 (multiplicity 2)
C 0.5000 0.5000 0.5000 (multiplicity 1)



Entry 6:
Tl3SbC | SCAN | PBEsol geometry

Computed properties:
Energy relative to the elements, uncorrected, eV/atom: 0.91
M_tot, μB/f.u.: 0.00

abc: 4.8859 4.8859 4.8859
angles: 90.00 90.00 90.00
Space group Pm-3m (No. 221)
Inequivalent atoms, fractional coordinates:
Tl 0.0000 0.0000 0.5000 (multiplicity 3)
Sb 0.5000 0.5000 0.5000 (multiplicity 1)
C 0.0000 0.0000 0.0000 (multiplicity 1)



Entry 7:
TlSb2C | SCAN | PBEsol geometry

Computed properties:
Energy relative to the elements, uncorrected, eV/atom: 0.85
M_tot, μB/f.u.: 0.00

abc: 6.8156 6.8156 8.1952
angles: 90.00 90.00 90.00
Space group I-42d (No. 122)
Inequivalent atoms, fractional coordinates:
Tl 0.0000 0.0000 0.0000 (multiplicity 4)
Sb 0.1498 0.2500 0.6250 (multiplicity 8)
C 0.0000 0.0000 0.5000 (multiplicity 4)



Entry 8:
Y3SbC | SCAN | PBEsol geometry

Computed properties:
Energy relative to the elements, uncorrected, eV/atom: -0.76
M_tot, μB/f.u.: 0.00

abc: 4.8141 4.8141 4.8141
angles: 90.00 90.00 90.00
Space group Pm-3m (No. 221)
Inequivalent atoms, fractional coordinates:
Y 0.0000 0.0000 0.5000 (multiplicity 3)
Sb 0.5000 0.5000 0.5000 (multiplicity 1)
C 0.0000 0.0000 0.0000 (multiplicity 1)